# 1
This record from Alexandria describes LiCd2GaAg2 after structural relaxation. The functional is PBE-GGA.

Calculated values
* symmetry: Pmc2_1
* crystal system: orthorhombic
* calculated formation energy: -0.7 eV/f.u.

Lattice parameters (Å, degrees): 4.3044 8.7679 5.8552 90.00 90.00 90.00
Last column: nearest neighbours and their distance in Å.
Fractional coordinates of all 12 atoms:
Li (0.0000, 0.0061, 0.0000)  5 Ag 2.73-2.97, 1 Cd 2.79, 4 Ga 2.92-2.98, 2 Li 2.93
Li (0.0000, 0.9939, 0.5000)  5 Ag 2.73-2.97, 1 Cd 2.79, 4 Ga 2.92-2.98, 2 Li 2.93
Cd (0.0000, 0.3122, 0.4807)  1 Li 2.79, 4 Ag 2.90-2.95, 2 Ga 2.99, 4 Cd 3.07-3.09
Cd (0.0000, 0.6878, 0.9807)  1 Li 2.79, 4 Ag 2.90-2.95, 2 Ga 2.99, 4 Cd 3.07-3.09
Cd (0.5000, 0.4956, 0.2275)  6 Cd 2.93-3.09, 1 Ga 3.03, 5 Ag 3.03-3.07
Cd (0.5000, 0.5044, 0.7275)  6 Cd 2.93-3.09, 1 Ga 3.03, 5 Ag 3.03-3.07
Ga (0.5000, 0.1590, 0.7510)  5 Ag 2.71-3.00, 4 Li 2.92-2.98, 3 Cd 2.99-3.03
Ga (0.5000, 0.8410, 0.2510)  5 Ag 2.71-3.00, 4 Li 2.92-2.98, 3 Cd 2.99-3.03
Ag (0.0000, 0.3176, 0.9763)  1 Li 2.73, 2 Ga 2.88, 4 Cd 2.90-3.04, 2 Ag 3.03
Ag (0.0000, 0.6824, 0.4763)  1 Li 2.73, 2 Ga 2.88, 4 Cd 2.90-3.04, 2 Ag 3.03
Ag (0.5000, 0.1498, 0.2396)  3 Ga 2.71-3.00, 4 Li 2.86-2.97, 3 Cd 2.94-3.03, 2 Ag 3.03
Ag (0.5000, 0.8502, 0.7396)  3 Ga 2.71-3.00, 4 Li 2.86-2.97, 3 Cd 2.94-3.03, 2 Ag 3.03

# 2
This record from Alexandria describes Ba4Sr7Ac after structural relaxation. The functional is PBE-GGA.

Calculated values
* symmetry: C2/m
* crystal system: monoclinic
* calculated formation energy: 2.2 eV/f.u.
* E above lowest polymorph: 0.000 eV/atom

Lattice parameters (Å, degrees): 7.7301 7.7301 15.4172 104.16 104.16 51.35
Last column: nearest neighbours and their distance in Å.
Fractional coordinates of all 12 atoms:
Ba (0.0540, 0.0540, 0.2836)  1 Ac 3.61
Ba (0.3459, 0.3459, 0.2415)  3 Sr 3.98-4.42, 3 Ba 4.29-4.36
Ba (0.6541, 0.6541, 0.7585)  3 Sr 3.98-4.42, 3 Ba 4.29-4.36
Ba (0.9460, 0.9460, 0.7164)  1 Ac 3.61
Sr (0.1403, 0.1403, 0.9731)  2 Ba 4.14-4.35, 6 Sr 4.21-4.46
Sr (0.2713, 0.2713, 0.5897)  1 Ac 3.66, 1 Sr 3.80
Sr (0.3969, 0.3969, 0.8742)  5 Sr 4.15-4.26, 3 Ba 4.30-4.42
Sr (0.5000, 0.5000, 0.5000)  2 Ac 3.35
Sr (0.6031, 0.6031, 0.1258)  5 Sr 4.15-4.26, 3 Ba 4.30-4.42
Sr (0.7287, 0.7287, 0.4103)  1 Ac 3.66, 1 Sr 3.80
Sr (0.8597, 0.8597, 0.0269)  2 Ba 4.14-4.35, 6 Sr 4.21-4.46
Ac (0.0000, 0.0000, 0.5000)  4 Sr 3.35-3.66, 2 Ba 3.61

# 3
This record from Alexandria describes K2RbCd4 after structural relaxation. The functional is PBE-GGA.

Calculated values
* symmetry: C2/c
* crystal system: monoclinic
* calculated formation energy: -0.4 eV/f.u.

Lattice parameters (Å, degrees): 9.7800 9.7800 6.7252 90.06 90.06 54.85
Last column: nearest neighbours and their distance in Å.
Fractional coordinates of all 14 atoms:
K (0.0801, 0.3538, 0.2497)  4 Cd 3.62-3.95, 1 Rb 3.77
K (0.3538, 0.0801, 0.7497)  4 Cd 3.62-3.95, 1 Rb 3.77
K (0.6462, 0.9199, 0.2503)  4 Cd 3.62-3.95, 1 Rb 3.77
K (0.9199, 0.6462, 0.7503)  4 Cd 3.62-3.95, 1 Rb 3.77
Rb (0.1621, 0.8379, 0.7500)  10 Cd 3.73-3.85, 2 K 3.77
Rb (0.8379, 0.1621, 0.2500)  10 Cd 3.73-3.85, 2 K 3.77
Cd (0.1356, 0.6893, 0.2497)  3 Cd 3.01-3.04
Cd (0.3107, 0.8644, 0.2503)  3 Cd 3.01-3.04
Cd (0.4051, 0.4051, 0.9997)  5 Cd 3.01-3.36
Cd (0.4051, 0.4051, 0.4997)  5 Cd 3.01-3.36
Cd (0.5949, 0.5949, 0.0003)  5 Cd 3.01-3.36
Cd (0.5949, 0.5949, 0.5003)  5 Cd 3.01-3.36
Cd (0.6893, 0.1356, 0.7497)  3 Cd 3.01-3.04
Cd (0.8644, 0.3107, 0.7503)  3 Cd 3.01-3.04

# 4
This record from Alexandria describes Hg4Te2Cl3 after structural relaxation. The functional is PBE-GGA.

Calculated values
* symmetry: C2/c
* crystal system: monoclinic
* E above lowest polymorph: 0.012 eV/atom
* uncorrected formation energy: -3.020 eV per formula unit

Lattice parameters (Å, degrees): 8.7916 8.7916 7.6982 98.72 98.72 98.96
Last column: nearest neighbours and their distance in Å.
Fractional coordinates of all 18 atoms:
Hg (0.0634, 0.7412, 0.9564)  1 Cl 2.57, 1 Te 2.84
Hg (0.2588, 0.9366, 0.5436)  1 Cl 2.57, 1 Te 2.84
Hg (0.2901, 0.3824, 0.5017)  2 Te 2.78, 2 Cl 2.83-2.84
Hg (0.3824, 0.2901, 0.0017)  2 Te 2.78, 2 Cl 2.83-2.84
Hg (0.6176, 0.7099, 0.9983)  2 Te 2.78, 2 Cl 2.83-2.84
Hg (0.7099, 0.6176, 0.4983)  2 Te 2.78, 2 Cl 2.83-2.84
Hg (0.7412, 0.0634, 0.4564)  1 Cl 2.57, 1 Te 2.84
Hg (0.9366, 0.2588, 0.0436)  1 Cl 2.57, 1 Te 2.84
Te (0.2134, 0.4840, 0.1810)  3 Hg 2.78-2.84
Te (0.4840, 0.2134, 0.6810)  3 Hg 2.78-2.84
Te (0.5160, 0.7866, 0.3190)  3 Hg 2.78-2.84
Te (0.7866, 0.5160, 0.8190)  3 Hg 2.78-2.84
Cl (0.0071, 0.2405, 0.5898)  2 Hg 2.57-2.83
Cl (0.2405, 0.0071, 0.0898)  2 Hg 2.57-2.83
Cl (0.3334, 0.6666, 0.7500)  4 Hg 2.84-3.15
Cl (0.6666, 0.3334, 0.2500)  4 Hg 2.84-3.15
Cl (0.7595, 0.9929, 0.9102)  2 Hg 2.57-2.83
Cl (0.9929, 0.7595, 0.4102)  2 Hg 2.57-2.83

# 5
This record from Alexandria describes Cs2BeI4 after structural relaxation. The functional is PBE-GGA.

Calculated values
* symmetry: I4/mmm
* crystal system: tetragonal
* uncorrected formation energy: -6.635 eV per formula unit

Lattice parameters (Å, degrees): 9.8679 9.8679 9.8679 144.72 144.72 50.75
Last column: nearest neighbours and their distance in Å.
Fractional coordinates of all 7 atoms:
Cs (0.1365, 0.1365, 0.0000)  9 I 3.86-4.23
Cs (0.8635, 0.8635, 0.0000)  9 I 3.86-4.23
Be (0.5000, 0.5000, 0.0000)  2 I 2.49
I (0.0000, 0.5000, 0.5000)  2 Be 2.99
I (0.3601, 0.3601, 0.0000)  1 Be 2.49
I (0.5000, 0.0000, 0.5000)  2 Be 2.99
I (0.6399, 0.6399, 0.0000)  1 Be 2.49

Number 1: density 7.77 g/cm3. Number 2: density 3.33 g/cm3. Number 3: density 3.87 g/cm3. Number 4: density 6.76 g/cm3. Number 5: density 4.07 g/cm3.